[1]
Below is crystalline Ac3Mo2N7 at its relaxed geometry, with properties calculated at the PBE level.

DOS at the Fermi energy: 2.0 states/eV/cell
uncorrected formation energy: -0.876 eV per atom
energy: -102.8 eV/cell
excess energy over the best structure of this formula in the dataset: 0 meV per atom

Cell lengths 11.065, 11.065, 11.065 Å; angles 158.88, 158.88, 30.04 degrees
Positions (direct):
Ac  0.000  0.000  0.000
Ac  0.182  0.182  0.000
Ac  0.818  0.818  0.000
Mo  0.403  0.403  0.000
Mo  0.597  0.597  0.000
N  0.096  0.596  0.500
N  0.306  0.306  0.000
N  0.404  0.904  0.500
N  0.500  0.500  0.000
N  0.596  0.096  0.500
N  0.694  0.694  0.000
N  0.904  0.404  0.500

=====

[2]
Below is crystalline SrPmNi2H8 at its relaxed geometry, with properties calculated at the PBE level.

DOS at the Fermi energy: 5.3 states/eV/cell
energy: -47.9 eV/cell

Cell lengths 6.929, 6.929, 6.929 Å; angles 39.52, 39.52, 39.52 degrees
Positions (direct):
Sr  0.000  0.000  0.000
Pm  0.500  0.500  0.500
Ni  0.229  0.229  0.229
Ni  0.771  0.771  0.771
H  0.076  0.560  0.560
H  0.146  0.146  0.146
H  0.440  0.440  0.924
H  0.440  0.924  0.440
H  0.560  0.076  0.560
H  0.560  0.560  0.076
H  0.854  0.854  0.854
H  0.924  0.440  0.440

=====

[3]
Below is crystalline LaSm2Cd5 at its relaxed geometry, with properties calculated at the PBE level.

energy of formation from the pure elements: -0.322 eV per atom
DOS at the Fermi energy: 9.8 states/eV/cell
energy: -43.0 eV/cell

Cell lengths 5.281, 5.281, 15.342 Å; angles 90.00, 90.00, 90.00 degrees
Positions (direct):
La  0.000  0.000  0.000
La  0.500  0.500  0.500
Sm  0.000  0.000  0.266
Sm  0.000  0.000  0.734
Sm  0.500  0.500  0.234
Sm  0.500  0.500  0.766
Cd  0.000  0.000  0.500
Cd  0.000  0.500  0.122
Cd  0.000  0.500  0.378
Cd  0.000  0.500  0.622
Cd  0.000  0.500  0.878
Cd  0.500  0.000  0.122
Cd  0.500  0.000  0.378
Cd  0.500  0.000  0.622
Cd  0.500  0.000  0.878
Cd  0.500  0.500  0.000

=====

[4]
Below is crystalline Rb2SbW at its relaxed geometry, with properties calculated at the PBE level.

DOS at the Fermi energy: 6.4 states/eV/cell
uncorrected formation energy: 0.908 eV per atom
energy: -61.5 eV/cell

Cell lengths 14.048, 14.048, 5.251 Å; angles 90.00, 90.00, 90.00 degrees
Positions (direct):
Rb  0.005  0.250  0.125
Rb  0.250  0.505  0.375
Rb  0.250  0.995  0.875
Rb  0.495  0.250  0.625
Rb  0.505  0.750  0.625
Rb  0.750  0.005  0.875
Rb  0.750  0.495  0.375
Rb  0.995  0.750  0.125
Sb  0.000  0.000  0.500
Sb  0.000  0.500  0.750
Sb  0.500  0.000  0.250
Sb  0.500  0.500  0.000
W  0.000  0.000  0.000
W  0.000  0.500  0.250
W  0.500  0.000  0.750
W  0.500  0.500  0.500

=====

Question: Among the records above, which one has the highest DOS at the Fermi energy?
Answer: LaSm2Cd5

=====

Question: What is the formula in the second record?
Answer: SrPmNi2H8

=====

Question: What is the DOS at the Fermi energy in the third record?
Answer: 9.8 states/eV/cell